#A
Density functional theory data (GGA-PBEsol) for a geometry-optimized KCaZn2 structure.

Cell and atoms, written as extended XYZ:
```
4
Lattice="-0.6899 -2.0496 -4.8891 -2.4082 -4.7346 -0.5982 -4.8980 -0.2522 -2.1260" Properties=species:S:1:pos:R:3 pbc="T T T"
Ca -0.3449 -1.0248 -2.4446
K -3.6531 -2.4934 -1.3621
Zn -5.6517 -4.2523 -3.2656
Zn -2.3444 -2.7841 -4.3477
```

Results
Density, g/cm³: 3.23



#B
Density functional theory data (GGA-PBEsol) for a geometry-optimized KCaZn2 structure.

Cell and atoms, written as extended XYZ:
```
4
Lattice="5.1025 0.0000 0.0000 2.5513 4.4189 0.0000 2.5513 1.4730 4.1662" Properties=species:S:1:pos:R:3 pbc="T T T"
Ca 5.1025 2.9460 2.0831
K 2.5513 1.4730 1.0416
Zn 0.0000 0.0000 0.0000
Zn 7.6538 4.4189 3.1247
```

Results
Density, g/cm³: 3.71



We find #A to be the most stable, with the next structure 50 meV/atom higher.



#A
Density functional theory data (GGA-PBEsol) for a geometry-optimized CaLa2 structure.

Cell and atoms, written as extended XYZ:
```
6
Lattice="-0.6481 -1.1718 3.4170 -3.9234 -4.0157 -2.1212 7.6172 -6.0655 -2.6062" Properties=species:S:1:pos:R:3 pbc="T T T"
Ca 0.8453 -7.3478 -0.3885
Ca 2.2004 -3.9052 -0.9219
La -1.4020 -4.4168 -1.7805
La 3.5954 -8.9745 -2.3956
La -0.5497 -2.2786 1.0853
La 4.4477 -6.8362 0.4702
```

Results
Density, g/cm³: 4.84



#B
Density functional theory data (GGA-PBEsol) for a geometry-optimized CaLa2 structure.

Cell and atoms, written as extended XYZ:
```
6
Lattice="-3.0356 -1.3618 1.5945 5.4085 -3.7457 2.8293 -0.5269 7.1493 5.1028" Properties=species:S:1:pos:R:3 pbc="T T T"
Ca -1.7658 4.8675 5.0636
Ca 3.6119 -2.8257 4.4631
La 1.5336 -0.8155 2.2231
La 0.3125 2.8573 7.3035
La 0.8863 2.4863 3.8107
La 0.9598 -0.4445 5.7159
```

Results
Density, g/cm³: 4.85



#C
Density functional theory data (GGA-PBEsol) for a geometry-optimized CaLa2 structure.

Cell and atoms, written as extended XYZ:
```
6
Lattice="5.9213 0.0000 0.0000 -2.9607 5.1280 0.0000 0.0000 0.0000 7.1305" Properties=species:S:1:pos:R:3 pbc="T T T"
Ca 2.9607 1.7093 5.3479
Ca 0.0000 3.4187 1.7826
La 0.0000 0.0000 0.0000
La 0.0000 0.0000 3.5653
La 2.9607 1.7093 1.7826
La 0.0000 3.4187 5.3479
```

Results
Density, g/cm³: 4.88



We find #A to be the most stable, with the next structure 13 meV/atom higher.



#A
Density functional theory data (GGA-PBEsol) for a geometry-optimized CaLa2 structure.

Cell and atoms, written as extended XYZ:
```
3
Lattice="-0.1858 3.5876 0.0373 -0.9858 0.0015 -5.0528 -5.0331 -2.0970 3.6039" Properties=species:S:1:pos:R:3 pbc="T T T"
Ca 0.0000 0.0000 0.0000
La -2.6665 1.6826 -2.1019
La -3.5382 -0.1905 0.6902
```

Results
Density, g/cm³: 4.98



#B
Density functional theory data (GGA-PBEsol) for a geometry-optimized CaLa2 structure.

Cell and atoms, written as extended XYZ:
```
6
Lattice="3.6978 0.0000 0.0000 -1.8489 6.9192 -0.0237 0.0000 -2.3501 8.4609" Properties=species:S:1:pos:R:3 pbc="T T T"
Ca 1.8489 4.4889 8.4164
Ca 0.0000 3.0850 5.5926
La 1.8489 1.5290 2.7739
La 1.8489 -0.0480 6.0606
La 1.8489 5.3574 3.2915
La 0.0000 3.5160 0.5708
```

Results
Density, g/cm³: 4.88



#C
Density functional theory data (GGA-PBEsol) for a geometry-optimized CaLa2 structure.

Cell and atoms, written as extended XYZ:
```
3
Lattice="3.5073 0.0000 0.0000 0.0000 5.9464 0.0000 0.0000 -2.9732 5.1498" Properties=species:S:1:pos:R:3 pbc="T T T"
Ca 0.0000 0.0000 0.0000
La 0.9820 0.0000 3.4332
La 2.5253 2.9732 1.7166
```

Results
Density, g/cm³: 4.91



We find #B to be the most stable, with the next structure 8 meV/atom higher.



#A
Density functional theory data (GGA-PBEsol) for a geometry-optimized Ca3La structure.

Cell and atoms, written as extended XYZ:
```
4
Lattice="6.0116 0.0000 0.0000 -3.0058 5.2116 0.0429 0.0000 3.4265 4.9395" Properties=species:S:1:pos:R:3 pbc="T T T"
Ca 0.0000 3.4624 1.2563
Ca 3.0058 1.7133 2.4697
Ca 3.0058 5.1757 3.7261
La 0.0000 0.0000 0.0000
```

Results
Density, g/cm³: 2.80



#B
Density functional theory data (GGA-PBEsol) for a geometry-optimized Ca3La structure.

Cell and atoms, written as extended XYZ:
```
4
Lattice="3.7544 0.0000 0.0000 -1.8772 3.2514 0.0000 0.0000 0.0000 12.6417" Properties=species:S:1:pos:R:3 pbc="T T T"
Ca 0.0000 0.0000 3.2176
Ca 0.0000 0.0000 9.4242
Ca 0.0000 2.1676 0.0000
La 0.0000 2.1676 6.3209
```

Results
Density, g/cm³: 2.79



We find #B to be the most stable, with the next structure 43 meV/atom higher.



#A
Density functional theory data (GGA-PBEsol) for a geometry-optimized Ca3La structure.

Cell and atoms, written as extended XYZ:
```
4
Lattice="3.7036 0.0000 0.0000 0.0000 6.6340 0.0000 -1.8518 -3.3170 6.2568" Properties=species:S:1:pos:R:3 pbc="T T T"
Ca 0.0000 0.0376 3.1516
Ca 1.8518 3.3547 3.1053
Ca 1.8518 5.4925 0.0000
La 0.0000 2.1720 0.0000
```

Results
Density, g/cm³: 2.80



#B
Density functional theory data (GGA-PBEsol) for a geometry-optimized Ca3La structure.

Cell and atoms, written as extended XYZ:
```
4
Lattice="-3.5826 0.4459 -1.9839 2.4481 -2.4914 -4.9809 -1.1746 -4.4969 5.3871" Properties=species:S:1:pos:R:3 pbc="T T T"
Ca -1.4483 -3.8148 -2.5189
Ca -1.7913 0.2230 -0.9920
Ca -0.8607 -2.7275 0.9412
La 1.2241 -1.2457 -2.4905
```

Results
Density, g/cm³: 2.82



#C
Density functional theory data (GGA-PBEsol) for a geometry-optimized Ca3La structure.

Cell and atoms, written as extended XYZ:
```
16
Lattice="6.5040 0.0000 0.0000 0.0000 7.6662 0.0000 0.0000 0.0000 12.4051" Properties=species:S:1:pos:R:3 pbc="T T T"
Ca 5.9291 0.9636 3.1013
Ca 3.8269 4.7967 9.3038
Ca 2.6771 2.8695 3.1013
Ca 0.5749 6.7026 9.3038
Ca 1.6206 4.7428 12.4029
Ca 1.6314 0.9097 0.0021
Ca 4.8726 6.7565 6.2047
Ca 4.8834 2.9234 6.2004
Ca 4.8834 2.9234 0.0021
Ca 4.8726 6.7565 12.4029
Ca 1.6314 0.9097 6.2004
Ca 1.6206 4.7428 6.2047
La 5.9766 4.9585 3.1013
La 3.7794 1.1254 9.3038
La 2.7246 6.5408 3.1013
La 0.5274 2.7077 9.3038
```

Results
Density, g/cm³: 2.78



#D
Density functional theory data (GGA-PBEsol) for a geometry-optimized Ca3La structure.

Cell and atoms, written as extended XYZ:
```
4
Lattice="3.6508 -0.0490 0.0000 -1.2980 3.4126 0.0000 0.0000 0.0000 12.4379" Properties=species:S:1:pos:R:3 pbc="T T T"
Ca 0.0000 0.0000 3.1540
Ca 1.1764 1.6818 0.0000
Ca 0.0000 0.0000 9.2840
La 1.1764 1.6818 6.2190
```

Results
Density, g/cm³: 2.79



We find #D to be the most stable, with the next structure 7 meV/atom higher.



#A
Density functional theory data (GGA-PBEsol) for a geometry-optimized CaLa structure.

Cell and atoms, written as extended XYZ:
```
4
Lattice="3.6931 0.0000 0.0000 0.0000 6.6248 0.0086 -1.8465 -3.0327 5.9955" Properties=species:S:1:pos:R:3 pbc="T T T"
Ca 0.0000 2.2595 1.4535
Ca 1.8465 1.3327 4.5507
La 1.8465 5.5825 1.6592
La 0.0000 -1.9904 4.3449
```

Results
Density, g/cm³: 4.05



#B
Density functional theory data (GGA-PBEsol) for a geometry-optimized CaLa structure.

Cell and atoms, written as extended XYZ:
```
4
Lattice="-2.1585 -2.5413 1.6125 1.5815 -2.6460 -2.0531 7.5125 -1.4903 7.7075" Properties=species:S:1:pos:R:3 pbc="T T T"
Ca -0.0884 -1.4672 1.8228
Ca 7.3124 -2.6167 5.6644
La 3.5099 -2.1810 5.5146
La 3.7140 -1.9029 1.9726
```

Results
Density, g/cm³: 3.99



#C
Density functional theory data (GGA-PBEsol) for a geometry-optimized CaLa structure.

Cell and atoms, written as extended XYZ:
```
4
Lattice="3.7381 0.0000 0.0000 -1.8690 3.2373 0.0000 0.0000 0.0000 12.4366" Properties=species:S:1:pos:R:3 pbc="T T T"
Ca 0.0000 2.1582 1.6109
Ca 1.8690 1.0791 10.8257
La 0.0000 2.1582 7.6270
La 1.8690 1.0791 4.8096
```

Results
Density, g/cm³: 3.95



#D
Density functional theory data (GGA-PBEsol) for a geometry-optimized CaLa structure.

Cell and atoms, written as extended XYZ:
```
4
Lattice="-3.7168 -0.8981 -1.3693 2.4455 -3.6000 -4.2770 0.3724 -2.4067 6.5914" Properties=species:S:1:pos:R:3 pbc="T T T"
Ca 1.7672 -3.8846 -2.2490
Ca -2.6661 -3.0202 3.1941
La -1.3145 -2.5426 -0.7879
La 0.4156 -4.3622 1.7330
```

Results
Density, g/cm³: 4.00



We find #B to be the most stable, with the next structure 19 meV/atom higher.